No. 1
Here is a geometry-optimized Na2CaPm3Te6 structure from the Alexandria database. Energies are from GGA-PBE.

Lattice parameters (Å, degrees): 10.149 10.149 9.120 104.23 104.23 25.51
Fractional coordinates of all 12 atoms:
Na 0.169 0.169 0.338
Na 0.831 0.831 0.662
Ca 0.500 0.500 0.000
Pm 0.167 0.167 0.832
Pm 0.500 0.500 0.500
Pm 0.833 0.833 0.168
Te 0.001 0.001 0.751
Te 0.334 0.334 0.921
Te 0.336 0.336 0.413
Te 0.664 0.664 0.587
Te 0.666 0.666 0.079
Te 0.999 0.999 0.249

Values from the calculation:
- Calculated volume: 32.62 Å³ per atom
- E_tot: -4.540 eV per atom
- Formation energy from raw total energies: -1.3953 eV per atom
- Size of the total moment: 0.0 μB per formula unit
- Symmetry: C2/m (12)

***

No. 2
Here is a geometry-optimized Zr2NiIr structure from the Alexandria database. Energies are from GGA-PBE.

Lattice parameters (Å, degrees): 3.385 4.208 5.318 90.00 108.39 90.00
Fractional coordinates of all 4 atoms:
Zr 0.000 0.000 0.000
Zr 0.282 0.500 0.567
Ni 0.730 0.000 0.463
Ir 0.556 0.500 0.114

Values from the calculation:
- Calculated formation energy: -0.66 eV per atom
- Calculated volume: 17.97 Å³ per atom
- E_tot: -8.596 eV per atom
- Size of the total moment: 0.0 μB per formula unit
- Symmetry: Pm (6)

***

No. 3
Here is a geometry-optimized Ba2GaAgPt structure from the Alexandria database. Energies are from GGA-PBE.

Lattice parameters (Å, degrees): 6.178 6.178 4.806 90.00 90.00 90.00
Fractional coordinates of all 5 atoms:
Ba 0.000 0.500 0.000
Ba 0.500 0.000 0.000
Ga 0.000 0.000 0.500
Ag 0.500 0.500 0.500
Pt 0.000 0.000 0.000

Values from the calculation:
- Calculated formation energy: -0.44 eV per atom
- Calculated volume: 36.69 Å³ per atom
- E_tot: -3.589 eV per atom
- Size of the total moment: 0.0 μB per formula unit
- Symmetry: P4/mmm (123)

***

No. 4
Here is a geometry-optimized SrEr2Sc structure from the Alexandria database. Energies are from GGA-PBE.

Lattice parameters (Å, degrees): 3.859 3.859 9.176 90.00 90.00 90.00
Fractional coordinates of all 4 atoms:
Sr 0.000 0.000 0.000
Er 0.500 0.500 0.308
Er 0.500 0.500 0.692
Sc 0.000 0.000 0.500

Values from the calculation:
- Calculated formation energy: 0.12 eV per atom
- Calculated volume: 34.16 Å³ per atom
- E_tot: -4.163 eV per atom
- Size of the total moment: 0.0 μB per formula unit
- Energy relative to the lowest polymorph listed for this composition: 0 meV per atom
- Symmetry: P4/mmm (123)

***

No. 5
Here is a geometry-optimized V5RuW4 structure from the Alexandria database. Energies are from GGA-PBE.

Lattice parameters (Å, degrees): 3.067 3.067 15.389 90.00 90.00 90.00
Fractional coordinates of all 10 atoms:
V 0.000 0.000 0.000
V 0.000 0.000 0.202
V 0.000 0.000 0.402
V 0.000 0.000 0.598
V 0.000 0.000 0.798
Ru 0.500 0.500 0.500
W 0.500 0.500 0.101
W 0.500 0.500 0.302
W 0.500 0.500 0.698
W 0.500 0.500 0.899

Values from the calculation:
- Calculated formation energy: -0.14 eV per atom
- Calculated volume: 14.48 Å³ per atom
- E_tot: -10.813 eV per atom
- Size of the total moment: 0.0 μB per formula unit
- Symmetry: P4/mmm (123)

***

No. 6
Here is a geometry-optimized Li2TbNdSi2 structure from the Alexandria database. Energies are from GGA-PBE.

Lattice parameters (Å, degrees): 4.428 4.428 7.347 90.00 90.00 120.00
Fractional coordinates of all 6 atoms:
Li 0.333 0.667 0.225
Li 0.667 0.333 0.775
Tb 0.000 0.000 0.000
Nd 0.000 0.000 0.500
Si 0.333 0.667 0.761
Si 0.667 0.333 0.239

Values from the calculation:
- Calculated volume: 20.80 Å³ per atom
- E_tot: -4.564 eV per atom
- Formation energy from raw total energies: -0.5522 eV per atom
- Size of the total moment: 0.0 μB per formula unit
- Symmetry: P-3m1 (164)

***

No. 7
Here is a geometry-optimized Dy5ZnHg2 structure from the Alexandria database. Energies are from GGA-PBE.

Lattice parameters (Å, degrees): 6.884 6.884 12.992 90.00 90.00 132.92
Fractional coordinates of all 16 atoms:
Dy 0.055 0.945 0.610
Dy 0.055 0.945 0.890
Dy 0.375 0.625 0.548
Dy 0.375 0.625 0.952
Dy 0.394 0.606 0.250
Dy 0.606 0.394 0.750
Dy 0.625 0.375 0.048
Dy 0.625 0.375 0.452
Dy 0.945 0.055 0.110
Dy 0.945 0.055 0.390
Zn 0.243 0.757 0.750
Zn 0.757 0.243 0.250
Hg 0.194 0.806 0.120
Hg 0.194 0.806 0.380
Hg 0.806 0.194 0.620
Hg 0.806 0.194 0.880

Values from the calculation:
- Calculated formation energy: -0.12 eV per atom
- Calculated volume: 28.18 Å³ per atom
- E_tot: -3.232 eV per atom
- Size of the total moment: 0.0 μB per formula unit
- Symmetry: Cmcm (63)

***

No. 8
Here is a geometry-optimized CaLa2Hf structure from the Alexandria database. Energies are from GGA-PBE.

Lattice parameters (Å, degrees): 5.664 5.664 5.664 60.00 60.00 60.00
Fractional coordinates of all 4 atoms:
Ca 0.000 0.000 0.000
La 0.250 0.250 0.250
La 0.750 0.750 0.750
Hf 0.500 0.500 0.500

Values from the calculation:
- Calculated formation energy: 0.29 eV per atom
- Calculated volume: 32.12 Å³ per atom
- E_tot: -5.164 eV per atom
- Size of the total moment: 0.0 μB per formula unit
- Energy relative to the lowest polymorph listed for this composition: 135 meV per atom
- Symmetry: Fm-3m (225)